VASP calculation (PBE-GGA) on an optimized crystal structure of TbGe2Ir3.

abc: 16.4098 4.0589 9.8728
angles: 90.00 108.05 90.00
Last column: nearest neighbours and their distance in Å.
Space group C2/m (No. 12)
One atom of each set of equivalent atoms:
1 Tb 0.0000 0.0000 0.0000 x2  6 Ge 3.05-3.16, 6 Ir 3.08-3.11
2 Tb 0.1611 0.0000 0.7036 x4  6 Ge 3.11-3.17, 9 Ir 3.17-3.47
3 Ge 0.0382 0.5000 0.7816 x4  5 Ir 2.43-2.67
4 Ge 0.1379 0.5000 0.4554 x4  7 Ir 2.39-2.64
5 Ge 0.1947 0.0000 0.1281 x4  6 Ir 2.47-2.59
6 Ir 0.0000 0.5000 0.5000 x2  4 Ge 2.44-2.65
7 Ir 0.0407 0.0000 0.3297 x4  4 Ge 2.47-2.64, 1 Ir 2.77
8 Ir 0.1207 0.5000 0.1981 x4  4 Ge 2.47-2.67
9 Ir 0.1790 0.5000 0.9585 x4  4 Ge 2.43-2.59
10 Ir 0.2171 0.0000 0.3918 x4  4 Ge 2.39-2.59

VASP calculation (PBE-GGA) on an optimized crystal structure of Tb3Ge4Ir2.

abc: 10.8458 4.3053 8.2281
angles: 90.00 109.07 90.00
Last column: nearest neighbours and their distance in Å.
Space group C2/m (No. 12)
One atom of each set of equivalent atoms:
1 Tb 0.0000 0.0000 0.0000 x2  6 Ge 3.04-3.09
2 Tb 0.1247 0.5000 0.6978 x4  7 Ge 2.93-3.20, 4 Ir 3.02-3.26
3 Ge 0.0872 0.0000 0.3973 x4  3 Ir 2.47-2.56
4 Ge 0.2086 0.5000 0.0744 x4  1 Ir 2.49, 2 Ge 2.77
5 Ir 0.1888 0.5000 0.3676 x4  4 Ge 2.47-2.56

Output
The value obtained for the energy above the most stable polymorph in this dataset is 0 meV/atom.

VASP calculation (PBE-GGA) on an optimized crystal structure of Tb5GeIr2.

abc: 7.7265 7.7265 13.1656
angles: 90.00 90.00 90.00
Last column: nearest neighbours and their distance in Å.
Space group I4/mcm (No. 140)
One atom of each set of equivalent atoms:
1 Tb 0.0000 0.0000 0.0000 x4  4 Ir 3.00, 2 Ge 3.29
2 Tb 0.1617 0.3383 0.1393 x16  3 Ir 2.86-2.95
3 Ge 0.0000 0.0000 0.2500 x4  10 Tb 3.24-3.29
4 Ir 0.1370 0.3630 0.5000 x8  8 Tb 2.86-3.00, 1 Ir 2.99

Number 1: total magnetic moment 0.000 μB/atom, total DFT energy (no corrections) -7.367 eV per atom. Number 2: total magnetic moment 0.000 μB/atom, total DFT energy (no corrections) -6.401 eV per atom. Number 3: total magnetic moment 0.000 μB/atom, total DFT energy (no corrections) -6.425 eV per atom.